Record 1
Compound: AlInReO6
Source: Alexandria
Functional: GGA-PBE
Structure: optimized geometry

For the density of states at the Fermi level, the calculation gives 3.0 states/eV/f.u. The calculation puts the electronic total energy at -131.28 eV for the cell shown. The value obtained for the formation energy from raw total energies is -1.88 eV per atom.

It has space group P-31c (No. 163), with a = 5.0462 Å, b = 5.0462 Å, c = 9.2981 Å, α = 90.00°, β = 90.00° and γ = 120.00°. The asymmetric unit holds Al at (0.3333, 0.6667, 0.2500), In at (0.0000, 0.0000, 0.0000), Re at (0.3333, 0.6667, 0.7500) and O at (0.0029, 0.3620, 0.1381).



Record 2
Compound: AlInRuO6
Source: Alexandria
Functional: GGA-PBE
Structure: optimized geometry

For the density of states at the Fermi level, the calculation gives 4.0 states/eV/f.u. The calculation puts the electronic total energy at -119.03 eV for the cell shown. The value obtained for the formation energy from raw total energies is -1.56 eV per atom.

It has space group P-31c (No. 163), with a = 5.0352 Å, b = 5.0352 Å, c = 9.2150 Å, α = 90.00°, β = 90.00° and γ = 120.00°. The asymmetric unit holds Al at (0.3333, 0.6667, 0.2500), In at (0.0000, 0.0000, 0.0000), Ru at (0.3333, 0.6667, 0.7500) and O at (0.0053, 0.3620, 0.1373).